No. 1
Material: Hf6GaHg2
Method: DFT, GGA-PBE
State: relaxed

Calculated values
Formation energy from the elements in eV/atom: 0.30
Space-group type: Immm, No. 71
DOS at the Fermi energy in states/eV/cell: 11.37
Crystal system: orthorhombic

a b c (Å): 4.646 6.563 8.085
angles (deg): 113.95 106.70 90.00
Sites, in units of the cell vectors:
Hf 0.161 0.405 0.322
Hf 0.839 0.083 0.678
Hf 0.839 0.595 0.678
Hf 0.500 0.241 0.000
Hf 0.161 0.917 0.322
Hf 0.500 0.759 0.000
Ga 0.000 0.000 0.000
Hg 0.668 0.668 0.337
Hg 0.332 0.332 0.663

No. 2
Material: PrOsF
Method: DFT, GGA-PBE
State: relaxed

Calculated values
Space-group type: Pnma, No. 62
DOS at the Fermi energy in states/eV/cell: 9.52
Crystal system: orthorhombic
Formation energy (no corrections) in eV per atom: -1.512

a b c (Å): 3.618 3.619 17.079
angles (deg): 90.00 90.00 90.00
Sites, in units of the cell vectors:
Pr 0.251 0.750 0.855
Pr 0.249 0.750 0.355
Pr 0.749 0.250 0.145
Pr 0.751 0.250 0.645
Os 0.250 0.250 0.500
Os 0.250 0.250 0.000
Os 0.750 0.750 0.500
Os 0.750 0.750 0.000
F 0.251 0.750 0.700
F 0.249 0.750 0.200
F 0.749 0.250 0.300
F 0.751 0.250 0.800

No. 3
Material: Ti3CrIr12
Method: DFT, GGA-PBE
State: relaxed

Calculated values
Formation energy from the elements in eV/atom: -0.59
Space-group type: P4/mmm, No. 123
DOS at the Fermi energy in states/eV/cell: 8.82
Crystal system: tetragonal

a b c (Å): 3.859 3.859 15.477
angles (deg): 90.00 90.00 90.00
Sites, in units of the cell vectors:
Ti 0.000 0.000 0.251
Ti 0.000 0.000 0.500
Ti 0.000 0.000 0.749
Cr 0.000 0.000 0.000
Ir 0.500 0.500 0.000
Ir 0.500 0.500 0.248
Ir 0.500 0.500 0.500
Ir 0.500 0.500 0.752
Ir 0.500 0.000 0.121
Ir 0.500 0.000 0.374
Ir 0.500 0.000 0.626
Ir 0.500 0.000 0.879
Ir 0.000 0.500 0.121
Ir 0.000 0.500 0.374
Ir 0.000 0.500 0.626
Ir 0.000 0.500 0.879

No. 4
Material: Li2NpAsO8
Method: DFT, GGA-PBE
State: relaxed

Calculated values
Space-group type: I-4m2, No. 119
DOS at the Fermi energy in states/eV/cell: 6.32
Crystal system: tetragonal
Formation energy (no corrections) in eV per atom: -1.520

a b c (Å): 5.799 5.799 5.799
angles (deg): 114.95 114.95 98.99
Sites, in units of the cell vectors:
Li 0.750 0.250 0.500
Li 0.500 0.500 0.000
Np 0.000 0.000 0.000
As 0.250 0.750 0.500
O 0.347 0.052 0.295
O 0.305 0.531 0.225
O 0.305 0.080 0.775
O 0.758 0.052 0.705
O 0.920 0.695 0.225
O 0.948 0.242 0.295
O 0.948 0.653 0.705
O 0.469 0.695 0.775